w.
The following is a DFT calculation (PBE-GGA) of a relaxed structure of RePbI2O.

Lattice parameters (Å, degrees): 5.7492 5.7492 3.8125 90.00 90.00 90.00
Space group P4/mmm (No. 123)
Symmetry-distinct sites (fractional):
Re 0.0000 0.0000 0.0000 (multiplicity 1)
Pb 0.5000 0.5000 0.5000 (multiplicity 1)
I 0.0000 0.5000 0.0000 (multiplicity 2)
O 0.0000 0.0000 0.5000 (multiplicity 1)

Output
DOS(E_F) in states/eV/f.u.: 1.97

***

x.
The following is a DFT calculation (PBE-GGA) of a relaxed structure of RePbI2O.

Lattice parameters (Å, degrees): 6.3373 6.3373 4.2330 90.00 90.00 90.00
Space group P4/mmm (No. 123)
Symmetry-distinct sites (fractional):
Re 0.0000 0.0000 0.0000 (multiplicity 1)
Pb 0.5000 0.5000 0.5000 (multiplicity 1)
I 0.0000 0.5000 0.5000 (multiplicity 2)
O 0.5000 0.5000 0.0000 (multiplicity 1)

Output
DOS(E_F) in states/eV/f.u.: 2.03

***

It is w that is the most stable of them.

***

w.
The following is a DFT calculation (PBE-GGA) of a relaxed structure of RhPbIO2.

Lattice parameters (Å, degrees): 4.1366 4.1366 6.9697 90.00 90.00 90.00
Space group P4/mmm (No. 123)
Symmetry-distinct sites (fractional):
Rh 0.0000 0.0000 0.0000 (multiplicity 1)
Pb 0.5000 0.5000 0.5000 (multiplicity 1)
I 0.5000 0.5000 0.0000 (multiplicity 1)
O 0.0000 0.5000 0.5000 (multiplicity 2)

Output
DOS(E_F) in states/eV/f.u.: 3.17

***

x.
The following is a DFT calculation (PBE-GGA) of a relaxed structure of RhPbIO2.

Lattice parameters (Å, degrees): 4.2900 4.2900 5.2270 90.00 90.00 90.00
Space group P4/mmm (No. 123)
Symmetry-distinct sites (fractional):
Rh 0.0000 0.0000 0.0000 (multiplicity 1)
Pb 0.5000 0.5000 0.5000 (multiplicity 1)
I 0.0000 0.0000 0.5000 (multiplicity 1)
O 0.0000 0.5000 0.0000 (multiplicity 2)

Output
DOS(E_F) in states/eV/f.u.: 3.04

***

It is x that is the most stable of them.

***

w.
The following is a DFT calculation (PBE-GGA) of a relaxed structure of RuPbI2O.

Lattice parameters (Å, degrees): 5.8596 5.8596 4.1195 90.00 90.00 90.00
Space group P4/mmm (No. 123)
Symmetry-distinct sites (fractional):
Ru 0.0000 0.0000 0.0000 (multiplicity 1)
Pb 0.5000 0.5000 0.5000 (multiplicity 1)
I 0.0000 0.5000 0.5000 (multiplicity 2)
O 0.5000 0.5000 0.0000 (multiplicity 1)

Output
DOS(E_F) in states/eV/f.u.: 1.24

***

x.
The following is a DFT calculation (PBE-GGA) of a relaxed structure of RuPbI2O.

Lattice parameters (Å, degrees): 5.4913 5.4913 3.7851 90.00 90.00 90.00
Space group P4/mmm (No. 123)
Symmetry-distinct sites (fractional):
Ru 0.0000 0.0000 0.0000 (multiplicity 1)
Pb 0.5000 0.5000 0.5000 (multiplicity 1)
I 0.0000 0.5000 0.0000 (multiplicity 2)
O 0.0000 0.0000 0.5000 (multiplicity 1)

Output
DOS(E_F) in states/eV/f.u.: 3.25

***

It is x that is the most stable of them.

***

w.
The following is a DFT calculation (PBE-GGA) of a relaxed structure of PbSI2O.

Lattice parameters (Å, degrees): 6.3086 6.3086 4.2075 90.00 90.00 90.00
Space group P4/mmm (No. 123)
Symmetry-distinct sites (fractional):
Pb 0.0000 0.0000 0.0000 (multiplicity 1)
S 0.5000 0.5000 0.5000 (multiplicity 1)
I 0.0000 0.5000 0.0000 (multiplicity 2)
O 0.0000 0.0000 0.5000 (multiplicity 1)

Output
DOS(E_F) in states/eV/f.u.: 2.47

***

x.
The following is a DFT calculation (PBE-GGA) of a relaxed structure of PbSI2O.

Lattice parameters (Å, degrees): 5.9167 5.9167 3.7189 90.00 90.00 90.00
Space group P4/mmm (No. 123)
Symmetry-distinct sites (fractional):
Pb 0.0000 0.0000 0.0000 (multiplicity 1)
S 0.5000 0.5000 0.5000 (multiplicity 1)
I 0.0000 0.5000 0.5000 (multiplicity 2)
O 0.5000 0.5000 0.0000 (multiplicity 1)

Output
DOS(E_F) in states/eV/f.u.: 3.71

***

It is x that is the most stable of them.

***

w.
The following is a DFT calculation (PBE-GGA) of a relaxed structure of Sb2PbIO.

Lattice parameters (Å, degrees): 5.9658 5.9658 6.2758 90.00 90.00 90.00
Space group P4/mmm (No. 123)
Symmetry-distinct sites (fractional):
Sb 0.0000 0.5000 0.0000 (multiplicity 2)
Pb 0.0000 0.0000 0.0000 (multiplicity 1)
I 0.0000 0.0000 0.5000 (multiplicity 1)
O 0.5000 0.5000 0.5000 (multiplicity 1)

Output
DOS(E_F) in states/eV/f.u.: 6.86

***

x.
The following is a DFT calculation (PBE-GGA) of a relaxed structure of Sb2PbIO.

Lattice parameters (Å, degrees): 4.5965 4.5965 6.7070 90.00 90.00 90.00
Space group P4/mmm (No. 123)
Symmetry-distinct sites (fractional):
Sb 0.0000 0.5000 0.0000 (multiplicity 2)
Pb 0.0000 0.0000 0.5000 (multiplicity 1)
I 0.5000 0.5000 0.5000 (multiplicity 1)
O 0.5000 0.5000 0.0000 (multiplicity 1)

Output
DOS(E_F) in states/eV/f.u.: 2.81

***

It is x that is the most stable of them.

***

w.
The following is a DFT calculation (PBE-GGA) of a relaxed structure of ScPbIO2.

Lattice parameters (Å, degrees): 4.3654 4.3654 6.0951 90.00 90.00 90.00
Space group P4/mmm (No. 123)
Symmetry-distinct sites (fractional):
Sc 0.0000 0.0000 0.0000 (multiplicity 1)
Pb 0.5000 0.5000 0.5000 (multiplicity 1)
I 0.5000 0.5000 0.0000 (multiplicity 1)
O 0.0000 0.5000 0.5000 (multiplicity 2)

Output
DOS(E_F) in states/eV/f.u.: 4.39

***

x.
The following is a DFT calculation (PBE-GGA) of a relaxed structure of ScPbIO2.

Lattice parameters (Å, degrees): 4.3095 4.3095 5.6328 90.00 90.00 90.00
Space group P4/mmm (No. 123)
Symmetry-distinct sites (fractional):
Sc 0.0000 0.0000 0.0000 (multiplicity 1)
Pb 0.5000 0.5000 0.5000 (multiplicity 1)
I 0.0000 0.0000 0.5000 (multiplicity 1)
O 0.0000 0.5000 0.0000 (multiplicity 2)

Output
DOS(E_F) in states/eV/f.u.: 1.29

***

It is x that is the most stable of them.

***

w.
The following is a DFT calculation (PBE-GGA) of a relaxed structure of PbSeI2O.

Lattice parameters (Å, degrees): 6.3977 6.3977 4.1962 90.00 90.00 90.00
Space group P4/mmm (No. 123)
Symmetry-distinct sites (fractional):
Pb 0.0000 0.0000 0.0000 (multiplicity 1)
Se 0.5000 0.5000 0.5000 (multiplicity 1)
I 0.0000 0.5000 0.0000 (multiplicity 2)
O 0.0000 0.0000 0.5000 (multiplicity 1)

Output
DOS(E_F) in states/eV/f.u.: 3.34

***

x.
The following is a DFT calculation (PBE-GGA) of a relaxed structure of PbSeI2O.

Lattice parameters (Å, degrees): 6.0057 6.0057 3.9029 90.00 90.00 90.00
Space group P4/mmm (No. 123)
Symmetry-distinct sites (fractional):
Pb 0.0000 0.0000 0.0000 (multiplicity 1)
Se 0.5000 0.5000 0.5000 (multiplicity 1)
I 0.0000 0.5000 0.5000 (multiplicity 2)
O 0.5000 0.5000 0.0000 (multiplicity 1)

Output
DOS(E_F) in states/eV/f.u.: 3.07

***

It is x that is the most stable of them.

***

w.
The following is a DFT calculation (PBE-GGA) of a relaxed structure of SnPbI2O.

Lattice parameters (Å, degrees): 6.3088 6.3088 4.0715 90.00 90.00 90.00
Space group P4/mmm (No. 123)
Symmetry-distinct sites (fractional):
Sn 0.0000 0.0000 0.0000 (multiplicity 1)
Pb 0.5000 0.5000 0.5000 (multiplicity 1)
I 0.0000 0.5000 0.0000 (multiplicity 2)
O 0.0000 0.0000 0.5000 (multiplicity 1)

Output
DOS(E_F) in states/eV/f.u.: 2.64

***

x.
The following is a DFT calculation (PBE-GGA) of a relaxed structure of SnPbI2O.

Lattice parameters (Å, degrees): 6.4005 6.4005 4.2274 90.00 90.00 90.00
Space group P4/mmm (No. 123)
Symmetry-distinct sites (fractional):
Sn 0.0000 0.0000 0.0000 (multiplicity 1)
Pb 0.5000 0.5000 0.5000 (multiplicity 1)
I 0.0000 0.5000 0.5000 (multiplicity 2)
O 0.5000 0.5000 0.0000 (multiplicity 1)

Output
DOS(E_F) in states/eV/f.u.: 2.54

***

It is w that is the most stable of them.

***

w.
The following is a DFT calculation (PBE-GGA) of a relaxed structure of SrPbIO2.

Lattice parameters (Å, degrees): 4.5939 4.5939 6.0368 90.00 90.00 90.00
Space group P4/mmm (No. 123)
Symmetry-distinct sites (fractional):
Sr 0.0000 0.0000 0.0000 (multiplicity 1)
Pb 0.5000 0.5000 0.5000 (multiplicity 1)
I 0.5000 0.5000 0.0000 (multiplicity 1)
O 0.0000 0.5000 0.5000 (multiplicity 2)

Output
DOS(E_F) in states/eV/f.u.: 0.84

***

x.
The following is a DFT calculation (PBE-GGA) of a relaxed structure of SrPbIO2.

Lattice parameters (Å, degrees): 5.9592 13.7865 5.9809 90.00 90.00 90.00
Space group Cmcm (No. 63)
Symmetry-distinct sites (fractional):
Sr 0.0000 0.0939 0.2500 (multiplicity 4)
Pb 0.0000 0.4332 0.2500 (multiplicity 4)
I 0.0000 0.2490 0.7500 (multiplicity 4)
O 0.2366 0.5000 0.0000 (multiplicity 8)

Output
DOS(E_F) in states/eV/f.u.: 1.88

***

y.
The following is a DFT calculation (PBE-GGA) of a relaxed structure of SrPbIO2.

Lattice parameters (Å, degrees): 4.7554 4.7554 6.2611 90.00 90.00 90.00
Space group P4/mmm (No. 123)
Symmetry-distinct sites (fractional):
Sr 0.0000 0.0000 0.0000 (multiplicity 1)
Pb 0.5000 0.5000 0.5000 (multiplicity 1)
I 0.0000 0.0000 0.5000 (multiplicity 1)
O 0.0000 0.5000 0.0000 (multiplicity 2)

Output
DOS(E_F) in states/eV/f.u.: 2.21

***

It is x that is the most stable of them.

***

w.
The following is a DFT calculation (PBE-GGA) of a relaxed structure of TaPbIO2.

Lattice parameters (Å, degrees): 4.1618 4.1618 6.0311 90.00 90.00 90.00
Space group P4/mmm (No. 123)
Symmetry-distinct sites (fractional):
Ta 0.0000 0.0000 0.0000 (multiplicity 1)
Pb 0.5000 0.5000 0.5000 (multiplicity 1)
I 0.0000 0.0000 0.5000 (multiplicity 1)
O 0.0000 0.5000 0.0000 (multiplicity 2)

Output
DOS(E_F) in states/eV/f.u.: 4.29

***

x.
The following is a DFT calculation (PBE-GGA) of a relaxed structure of TaPbIO2.

Lattice parameters (Å, degrees): 4.3094 4.3094 6.0911 90.00 90.00 90.00
Space group P4/mmm (No. 123)
Symmetry-distinct sites (fractional):
Ta 0.0000 0.0000 0.0000 (multiplicity 1)
Pb 0.5000 0.5000 0.5000 (multiplicity 1)
I 0.5000 0.5000 0.0000 (multiplicity 1)
O 0.0000 0.5000 0.5000 (multiplicity 2)

Output
DOS(E_F) in states/eV/f.u.: 2.86

***

It is w that is the most stable of them.

***

w.
The following is a DFT calculation (PBE-GGA) of a relaxed structure of TcPbIO2.

Lattice parameters (Å, degrees): 4.1791 4.1791 5.4717 90.00 90.00 90.00
Space group P4/mmm (No. 123)
Symmetry-distinct sites (fractional):
Tc 0.0000 0.0000 0.0000 (multiplicity 1)
Pb 0.5000 0.5000 0.5000 (multiplicity 1)
I 0.0000 0.0000 0.5000 (multiplicity 1)
O 0.0000 0.5000 0.0000 (multiplicity 2)

Output
DOS(E_F) in states/eV/f.u.: 4.11

***

x.
The following is a DFT calculation (PBE-GGA) of a relaxed structure of TcPbIO2.

Lattice parameters (Å, degrees): 4.2667 4.2667 5.9827 90.00 90.00 90.00
Space group P4/mmm (No. 123)
Symmetry-distinct sites (fractional):
Tc 0.0000 0.0000 0.0000 (multiplicity 1)
Pb 0.5000 0.5000 0.5000 (multiplicity 1)
I 0.5000 0.5000 0.0000 (multiplicity 1)
O 0.0000 0.5000 0.5000 (multiplicity 2)

Output
DOS(E_F) in states/eV/f.u.: 1.99

***

It is w that is the most stable of them.

***

w.
The following is a DFT calculation (PBE-GGA) of a relaxed structure of Te2PbIO.

Lattice parameters (Å, degrees): 4.6102 4.6102 6.5971 90.00 90.00 90.00
Space group P4/mmm (No. 123)
Symmetry-distinct sites (fractional):
Te 0.0000 0.5000 0.0000 (multiplicity 2)
Pb 0.0000 0.0000 0.5000 (multiplicity 1)
I 0.5000 0.5000 0.5000 (multiplicity 1)
O 0.5000 0.5000 0.0000 (multiplicity 1)

Output
DOS(E_F) in states/eV/f.u.: 3.70

***

x.
The following is a DFT calculation (PBE-GGA) of a relaxed structure of Te2PbIO.

Lattice parameters (Å, degrees): 6.0635 6.0635 6.2977 90.00 90.00 90.00
Space group P4/mmm (No. 123)
Symmetry-distinct sites (fractional):
Te 0.0000 0.5000 0.0000 (multiplicity 2)
Pb 0.0000 0.0000 0.0000 (multiplicity 1)
I 0.0000 0.0000 0.5000 (multiplicity 1)
O 0.5000 0.5000 0.5000 (multiplicity 1)

Output
DOS(E_F) in states/eV/f.u.: 5.90

***

It is w that is the most stable of them.